{
  "formula": "PrGe3Pd2",
  "functional": "PBE-GGA",
  "state": "relaxed",
  "lattice": [[-2.1644, 2.1644, 12.7083], [2.1644, -2.1644, 12.7083], [2.1644, 2.1644, -12.7083]],
  "species": ["Pr", "Pr", "Ge", "Ge", "Ge", "Ge", "Ge", "Ge", "Pd", "Pd", "Pd", "Pd"],
  "frac_coords": [[0.1502, 0.1502, 0.0000], [0.8498, 0.8498, 0.0000], [0.0491, 0.5491, 0.5000], [0.3028, 0.3028, 0.0000], [0.4509, 0.9509, 0.5000], [0.5491, 0.0491, 0.5000], [0.6972, 0.6972, 0.0000], [0.9509, 0.4509, 0.5000], [0.2500, 0.7500, 0.5000], [0.4009, 0.4009, 0.0000], [0.5991, 0.5991, 0.0000], [0.7500, 0.2500, 0.5000]],
  "formation_enthalpy_0k_mev_per_atom": -658,
  "spacegroup": "I4/mmm (139)"
}



{
  "formula": "Pr2Ge4Pd3",
  "functional": "PBE-GGA",
  "state": "relaxed",
  "lattice": [[2.9396, -7.7344, 0.0000], [2.9396, 7.7344, 0.0000], [0.0000, 0.0000, 7.6577]],
  "species": ["Pr", "Pr", "Pr", "Pr", "Ge", "Ge", "Ge", "Ge", "Ge", "Ge", "Ge", "Ge", "Pd", "Pd", "Pd", "Pd", "Pd", "Pd"],
  "frac_coords": [[0.1090, 0.8910, 0.9082], [0.3910, 0.6090, 0.4082], [0.6090, 0.3910, 0.5918], [0.8910, 0.1090, 0.0918], [0.1820, 0.8180, 0.5243], [0.1916, 0.3084, 0.7500], [0.3084, 0.1916, 0.2500], [0.3180, 0.6820, 0.0243], [0.6820, 0.3180, 0.9757], [0.6916, 0.8084, 0.7500], [0.8084, 0.6916, 0.2500], [0.8180, 0.1820, 0.4757], [0.0000, 0.0000, 0.5000], [0.0271, 0.4729, 0.7500], [0.4729, 0.0271, 0.2500], [0.5000, 0.5000, 0.0000], [0.5271, 0.9729, 0.7500], [0.9729, 0.5271, 0.2500]],
  "formation_enthalpy_0k_mev_per_atom": -745,
  "spacegroup": "Cmce (64)"
}



{
  "formula": "Pr2GePd6",
  "functional": "PBE-GGA",
  "state": "relaxed",
  "lattice": [[5.8056, 0.0000, 0.0000], [-2.9028, 5.0278, 0.0000], [0.0000, 0.0000, 5.8989]],
  "species": ["Pr", "Pr", "Ge", "Pd", "Pd", "Pd", "Pd", "Pd", "Pd"],
  "frac_coords": [[0.3333, 0.6667, 0.1807], [0.6667, 0.3333, 0.8193], [0.0000, 0.0000, 0.0000], [0.1722, 0.3445, 0.6909], [0.1722, 0.8278, 0.6909], [0.3445, 0.1722, 0.3091], [0.6555, 0.8278, 0.6909], [0.8278, 0.1722, 0.3091], [0.8278, 0.6555, 0.3091]],
  "formation_enthalpy_0k_mev_per_atom": -752,
  "spacegroup": "P-3m1 (164)"
}



{
  "formula": "Pr2GePd3",
  "functional": "PBE-GGA",
  "state": "relaxed",
  "lattice": [[3.7507, 0.0000, 0.0000], [0.0000, 4.5181, 0.0000], [0.0000, 0.0000, 7.8326]],
  "species": ["Pr", "Pr", "Ge", "Pd", "Pd", "Pd"],
  "frac_coords": [[0.0000, 0.0000, 0.0000], [0.0000, 0.5000, 0.4782], [0.5000, 0.5000, 0.8109], [0.5000, 0.0000, 0.3262], [0.5000, 0.0000, 0.6738], [0.5000, 0.5000, 0.1324]],
  "formation_enthalpy_0k_mev_per_atom": -805,
  "spacegroup": "Pmm2 (25)"
}



E_tot in eV per atom, matching the order above: -5.495 -5.590 -5.789 -5.764